This record from the Alexandria database describes a crystal of Mg2InHg2 relaxed with PBEsol. The functional is meta-GGA SCAN.

Calculated values
- energy relative to the elements (meV per atom) = -237
- V (Å³/cell) = 219.0
- total magnetic moment (μB/cell) = 0.0
- symmetry = P4/mbm, No. 127
- N(E_F) (states/eV per cell) = 4.1

a b c (Å): 3.2783 8.1725 8.1725
angles (deg): 90.00 90.00 90.00
Closest atoms and distances in Å follow each position.
Element x y z (fractional)
Mg  0.5000  0.1658  0.6658  6 Hg 2.84-2.95
Mg  0.5000  0.6658  0.8342  6 Hg 2.84-2.95
Mg  0.5000  0.8342  0.3342  6 Hg 2.84-2.95
Mg  0.5000  0.3342  0.1658  6 Hg 2.84-2.95
Hg  0.0000  0.3668  0.8668  6 Mg 2.84-2.95, 1 Hg 3.08
Hg  0.0000  0.8668  0.6332  6 Mg 2.84-2.95, 1 Hg 3.08
Hg  0.0000  0.6332  0.1332  6 Mg 2.84-2.95, 1 Hg 3.08
Hg  0.0000  0.1332  0.3668  6 Mg 2.84-2.95, 1 Hg 3.08
In  0.0000  0.0000  0.0000  4 Hg 3.19, 2 In 3.28, 8 Mg 3.46
In  0.0000  0.5000  0.5000  4 Hg 3.19, 2 In 3.28, 8 Mg 3.46